Record 1
9
Lattice="5.476 0.000 0.000 2.738 4.742 0.000 2.738 1.581 6.003" Properties=species:S:1:pos:R:3 comment="CdS2O6 PBE relaxed" vol_a3_per_atom=17.32 e_form_raw_ev_per_atom=-1.189 n_ef_per_ev_atom=0.000 de_polymorph_mev_per_atom=0 pbc="T T T"
Cd 2.738 1.581 0.009
S 8.214 4.742 4.910
S 5.476 3.161 1.094
O 7.235 3.702 4.553
O 4.128 4.414 4.553
O 5.065 1.368 4.553
O 4.083 2.846 1.452
O 6.445 2.113 1.452
O 5.899 4.526 1.452

---

Record 2
4
Lattice="5.534 0.000 0.000 2.767 4.793 0.000 2.767 1.598 4.518" Properties=species:S:1:pos:R:3 comment="AcCuBi2 PBE relaxed" vol_a3_per_atom=29.96 n_ef_per_ev_atom=0.798 ef_ev_per_atom=-0.045 de_polymorph_mev_per_atom=223 pbc="T T T"
Ac 0.000 0.000 0.000
Bi 2.767 1.598 1.130
Bi 8.301 4.793 3.389
Cu 5.534 3.195 2.259

---

Record 3
5
Lattice="-4.394 0.237 4.369 4.308 -0.846 4.379 0.763 6.139 0.435" Properties=species:S:1:pos:R:3 comment="Rb3SiB PBE relaxed" vol_a3_per_atom=47.69 e_form_raw_ev_per_atom=1.209 n_ef_per_ev_atom=1.813 de_polymorph_mev_per_atom=0 pbc="T T T"
Si 0.339 2.765 4.591
B 0.000 0.000 0.000
Rb 2.154 -0.423 2.190
Rb 0.382 3.069 0.217
Rb -2.197 0.119 2.185